Record 1
A relaxed structure of MgCdTe2. Source: the Alexandria database, functional PBE.

Computed properties:
* theoretical density: 4.6 Mg/m³
* total DFT energy (no corrections): -22.91 eV for the cell shown
* ΔE_f (raw): -257.0 kJ/mol of formula units
* symmetry: P1
* spin magnetization: 0.00 μB per cell

abc: 4.643 7.590 8.021
angles: 89.99 89.98 89.97
Fractional positions:
Mg (0.000, 0.000, 0.000)
Mg (0.002, 0.500, 0.334)
Cd (0.501, 0.001, 0.499)
Cd (0.503, 0.501, 0.834)
Te (0.001, 0.872, 0.330)
Te (0.003, 0.372, 0.004)
Te (0.501, 0.880, 0.837)
Te (0.502, 0.380, 0.496)

---

Record 2
A relaxed structure of MgCdTe2. Source: the Alexandria database, functional PBE.

Computed properties:
* theoretical density: 5.3 Mg/m³
* total DFT energy (no corrections): -41.99 eV for the cell shown
* ΔE_f (raw): -164.5 kJ/mol of formula units
* symmetry: Pnma
* spin magnetization: 0.00 μB per cell

abc: 8.014 4.127 14.727
angles: 90.00 90.00 90.00
Fractional positions:
Mg (0.073, 0.250, 0.083)
Mg (0.427, 0.750, 0.583)
Mg (0.573, 0.250, 0.417)
Mg (0.927, 0.750, 0.917)
Cd (0.220, 0.750, 0.328)
Cd (0.280, 0.250, 0.828)
Cd (0.720, 0.750, 0.172)
Cd (0.780, 0.250, 0.672)
Te (0.030, 0.750, 0.736)
Te (0.245, 0.250, 0.499)
Te (0.255, 0.750, 0.999)
Te (0.470, 0.250, 0.236)
Te (0.530, 0.750, 0.764)
Te (0.745, 0.250, 0.001)
Te (0.755, 0.750, 0.501)
Te (0.970, 0.250, 0.264)

---

Record 3
A relaxed structure of MgCdTe2. Source: the Alexandria database, functional PBE.

Computed properties:
* theoretical density: 5.1 Mg/m³
* total DFT energy (no corrections): -11.12 eV for the cell shown
* ΔE_f (raw): -224.8 kJ/mol of formula units
* symmetry: P3m1
* spin magnetization: 0.00 μB per cell

abc: 4.468 4.468 7.408
angles: 90.00 90.00 120.00
Fractional positions:
Mg (0.000, 0.000, 0.000)
Cd (0.333, 0.667, 0.467)
Te (0.333, 0.667, 0.845)
Te (0.667, 0.333, 0.288)

---

Record 4
A relaxed structure of Mg2CdTe2. Source: the Alexandria database, functional PBE.

Computed properties:
* theoretical density: 5.3 Mg/m³
* total DFT energy (no corrections): -24.41 eV for the cell shown
* ΔE_f (raw): -175.2 kJ/mol of formula units
* energy above the most stable polymorph in this dataset: 149.4 meV/atom
* symmetry: P4/mbm
* spin magnetization: 0.00 μB per cell

abc: 8.171 8.171 3.893
angles: 90.00 90.00 90.00
Fractional positions:
Mg (0.138, 0.362, 0.000)
Mg (0.362, 0.862, 0.000)
Mg (0.638, 0.138, 0.000)
Mg (0.862, 0.638, 0.000)
Cd (0.000, 0.000, 0.000)
Cd (0.500, 0.500, 0.000)
Te (0.163, 0.663, 0.500)
Te (0.337, 0.163, 0.500)
Te (0.663, 0.837, 0.500)
Te (0.837, 0.337, 0.500)

---

Record 5
A relaxed structure of Mg2Cd2Te. Source: the Alexandria database, functional PBE.

Computed properties:
* theoretical density: 5.4 Mg/m³
* total DFT energy (no corrections): -16.78 eV for the cell shown
* ΔE_f (raw): -22.1 kJ/mol of formula units
* energy above the most stable polymorph in this dataset: 4.4 meV/atom
* symmetry: P4/mbm
* spin magnetization: 0.00 μB per cell

abc: 7.869 7.869 4.010
angles: 90.00 90.00 90.00
Fractional positions:
Mg (0.171, 0.329, 0.000)
Mg (0.329, 0.829, 0.000)
Mg (0.671, 0.171, 0.000)
Mg (0.829, 0.671, 0.000)
Cd (0.130, 0.630, 0.500)
Cd (0.370, 0.130, 0.500)
Cd (0.630, 0.870, 0.500)
Cd (0.870, 0.370, 0.500)
Te (0.000, 0.000, 0.500)
Te (0.500, 0.500, 0.500)

---

Record 6
A relaxed structure of MgCd2Te. Source: the Alexandria database, functional PBE.

Computed properties:
* theoretical density: 5.9 Mg/m³
* total DFT energy (no corrections): -24.89 eV for the cell shown
* ΔE_f (raw): 33.2 kJ/mol of formula units
* energy above the most stable polymorph in this dataset: 294.1 meV/atom
* symmetry: Fm-3m
* spin magnetization: 0.00 μB per cell

abc: 7.493 7.493 7.493
angles: 90.00 90.00 90.00
Fractional positions:
Mg (0.000, 0.000, 0.000)
Mg (0.000, 0.500, 0.500)
Mg (0.500, 0.000, 0.500)
Mg (0.500, 0.500, 0.000)
Cd (0.250, 0.250, 0.250)
Cd (0.250, 0.250, 0.750)
Cd (0.250, 0.750, 0.250)
Cd (0.250, 0.750, 0.750)
Cd (0.750, 0.250, 0.250)
Cd (0.750, 0.250, 0.750)
Cd (0.750, 0.750, 0.250)
Cd (0.750, 0.750, 0.750)
Te (0.000, 0.000, 0.500)
Te (0.000, 0.500, 0.000)
Te (0.500, 0.000, 0.000)
Te (0.500, 0.500, 0.500)

---

Record 7
A relaxed structure of MgCd2Te. Source: the Alexandria database, functional PBE.

Computed properties:
* theoretical density: 5.7 Mg/m³
* total DFT energy (no corrections): -28.04 eV for the cell shown
* ΔE_f (raw): -42.7 kJ/mol of formula units
* energy above the most stable polymorph in this dataset: 97.4 meV/atom
* symmetry: I-42d
* spin magnetization: 0.00 μB per cell

abc: 8.767 8.767 5.738
angles: 90.00 90.00 90.00
Fractional positions:
Mg (0.000, 0.000, 0.000)
Mg (0.000, 0.500, 0.250)
Mg (0.500, 0.000, 0.750)
Mg (0.500, 0.500, 0.500)
Cd (0.232, 0.250, 0.625)
Cd (0.250, 0.732, 0.875)
Cd (0.250, 0.768, 0.375)
Cd (0.268, 0.250, 0.125)
Cd (0.732, 0.750, 0.125)
Cd (0.750, 0.232, 0.375)
Cd (0.750, 0.268, 0.875)
Cd (0.768, 0.750, 0.625)
Te (0.000, 0.000, 0.500)
Te (0.000, 0.500, 0.750)
Te (0.500, 0.000, 0.250)
Te (0.500, 0.500, 0.000)

---

Record 8
A relaxed structure of MgCdTe2. Source: the Alexandria database, functional PBE.

Computed properties:
* theoretical density: 4.9 Mg/m³
* total DFT energy (no corrections): -87.49 eV for the cell shown
* ΔE_f (raw): -206.8 kJ/mol of formula units
* symmetry: C2/c
* spin magnetization: 0.00 μB per cell

abc: 8.577 8.577 14.813
angles: 98.06 98.06 85.24
Fractional positions:
Mg (0.153, 0.692, 0.882)
Mg (0.308, 0.847, 0.618)
Mg (0.363, 0.469, 0.117)
Mg (0.469, 0.363, 0.617)
Mg (0.531, 0.637, 0.383)
Mg (0.637, 0.531, 0.883)
Mg (0.692, 0.153, 0.382)
Mg (0.847, 0.308, 0.118)
Cd (0.007, 0.677, 0.381)
Cd (0.092, 0.210, 0.843)
Cd (0.210, 0.092, 0.343)
Cd (0.323, 0.993, 0.119)
Cd (0.677, 0.007, 0.881)
Cd (0.790, 0.908, 0.657)
Cd (0.908, 0.790, 0.157)
Cd (0.993, 0.323, 0.619)
Te (0.101, 0.899, 0.750)
Te (0.124, 0.253, 0.036)
Te (0.240, 0.428, 0.760)
Te (0.251, 0.749, 0.250)
Te (0.253, 0.124, 0.536)
Te (0.286, 0.580, 0.490)
Te (0.420, 0.714, 0.010)
Te (0.428, 0.240, 0.260)
Te (0.572, 0.760, 0.740)
Te (0.580, 0.286, 0.990)
Te (0.714, 0.420, 0.510)
Te (0.747, 0.876, 0.464)
Te (0.749, 0.251, 0.750)
Te (0.760, 0.572, 0.240)
Te (0.876, 0.747, 0.964)
Te (0.899, 0.101, 0.250)